No. 1
# BaCuIrW (PBE, optimized geometry)
# - Energy above the lowest structure with this stoichiometry: 0 meV per atom
data_BaCuIrW
_cell_length_a 6.6780
_cell_length_b 6.6780
_cell_length_c 6.6780
_cell_angle_alpha 90.00
_cell_angle_beta 90.00
_cell_angle_gamma 90.00
_space_group_name_H-M_alt 'F -4 3 m'
_space_group_IT_number 216
_space_group_name_Hall 'F -4 2 3'
loop_
_atom_site_label
_atom_site_type_symbol
_atom_site_fract_x
_atom_site_fract_y
_atom_site_fract_z
Ba1 Ba 0.0000 0.0000 0.0000
Cu1 Cu 0.2500 0.2500 0.7500
Ir1 Ir 0.0000 0.0000 0.5000
W1 W 0.2500 0.2500 0.2500

No. 2
# BaCuIrW (PBE, optimized geometry)
# - Energy above the lowest structure with this stoichiometry: 440 meV per atom
data_BaCuIrW
_cell_length_a 6.6568
_cell_length_b 6.6568
_cell_length_c 6.6568
_cell_angle_alpha 90.00
_cell_angle_beta 90.00
_cell_angle_gamma 90.00
_space_group_name_H-M_alt 'F -4 3 m'
_space_group_IT_number 216
_space_group_name_Hall 'F -4 2 3'
loop_
_atom_site_label
_atom_site_type_symbol
_atom_site_fract_x
_atom_site_fract_y
_atom_site_fract_z
Ba1 Ba 0.0000 0.0000 0.0000
Cu1 Cu 0.0000 0.0000 0.5000
Ir1 Ir 0.2500 0.2500 0.2500
W1 W 0.2500 0.2500 0.7500

No. 3
# Ba4ZnCuIr2 (PBE, optimized geometry)
# - Uncorrected energy: -4.005 eV per atom
data_Ba4ZnCuIr2
_cell_length_a 4.4646
_cell_length_b 4.4646
_cell_length_c 16.8196
_cell_angle_alpha 90.00
_cell_angle_beta 90.00
_cell_angle_gamma 120.00
_space_group_name_H-M_alt 'P -6 m 2'
_space_group_IT_number 187
_space_group_name_Hall 'P -6 2'
loop_
_atom_site_label
_atom_site_type_symbol
_atom_site_fract_x
_atom_site_fract_y
_atom_site_fract_z
Ba1 Ba 0.0000 0.0000 0.1204
Ba2 Ba 0.6667 0.3333 0.3752
Zn1 Zn 0.0000 0.0000 0.5000
Cu1 Cu 0.6667 0.3333 0.0000
Ir1 Ir 0.3333 0.6667 0.0000
Ir2 Ir 0.3333 0.6667 0.5000

No. 4
# Ba4Zn2CuIr (PBE, optimized geometry)
# - Uncorrected energy: -3.054 eV per atom
data_Ba4Zn2CuIr
_cell_length_a 4.5143
_cell_length_b 4.5143
_cell_length_c 16.7836
_cell_angle_alpha 90.00
_cell_angle_beta 90.00
_cell_angle_gamma 120.00
_space_group_name_H-M_alt 'P -6 m 2'
_space_group_IT_number 187
_space_group_name_Hall 'P -6 2'
loop_
_atom_site_label
_atom_site_type_symbol
_atom_site_fract_x
_atom_site_fract_y
_atom_site_fract_z
Ba1 Ba 0.0000 0.0000 0.1243
Ba2 Ba 0.3333 0.6667 0.3725
Zn1 Zn 0.0000 0.0000 0.5000
Zn2 Zn 0.3333 0.6667 0.0000
Cu1 Cu 0.6667 0.3333 0.5000
Ir1 Ir 0.6667 0.3333 0.0000

No. 5
# K2Ba3Cu2Sb2S10 (PBE, optimized geometry)
# - Uncorrected energy: -4.435 eV per atom
data_K2Ba3Cu2Sb2S10
_cell_length_a 15.9587
_cell_length_b 7.3417
_cell_length_c 9.2877
_cell_angle_alpha 90.00
_cell_angle_beta 114.90
_cell_angle_gamma 90.00
_space_group_name_H-M_alt 'C 1 2/m 1'
_space_group_IT_number 12
_space_group_name_Hall '-C 2y'
loop_
_atom_site_label
_atom_site_type_symbol
_atom_site_fract_x
_atom_site_fract_y
_atom_site_fract_z
K1 K 0.2086 0.0000 0.4345
Ba1 Ba 0.0000 0.5000 0.5000
Ba2 Ba 0.1673 0.5000 0.0101
Cu1 Cu 0.0000 0.2056 0.0000
Sb1 Sb 0.0689 0.0000 0.7159
S1 S 0.0647 0.3526 0.2376
S2 S 0.1180 0.0000 0.0054
S3 S 0.1720 0.2467 0.7149

No. 6
# BaLaCuS3 (PBE, optimized geometry)
# - Uncorrected energy: -5.555 eV per atom
data_BaLaCuS3
_cell_length_a 10.8664
_cell_length_b 4.1464
_cell_length_c 13.4873
_cell_angle_alpha 90.00
_cell_angle_beta 90.00
_cell_angle_gamma 90.00
_space_group_name_H-M_alt 'P n m a'
_space_group_IT_number 62
_space_group_name_Hall '-P 2ac 2n'
loop_
_atom_site_label
_atom_site_type_symbol
_atom_site_fract_x
_atom_site_fract_y
_atom_site_fract_z
Ba1 Ba 0.2205 0.2500 0.0050
La1 La 0.0156 0.7500 0.2626
Cu1 Cu 0.2335 0.7500 0.7799
S1 S 0.0533 0.7500 0.8776
S2 S 0.1006 0.2500 0.3914
S3 S 0.2394 0.2500 0.6822

No. 7
# BaLaCuS3 (PBE, optimized geometry)
# - Uncorrected energy: -5.508 eV per atom
data_BaLaCuS3
_cell_length_a 13.9538
_cell_length_b 4.1329
_cell_length_c 10.9948
_cell_angle_alpha 90.00
_cell_angle_beta 90.00
_cell_angle_gamma 90.00
_space_group_name_H-M_alt 'P n m a'
_space_group_IT_number 62
_space_group_name_Hall '-P 2ac 2n'
loop_
_atom_site_label
_atom_site_type_symbol
_atom_site_fract_x
_atom_site_fract_y
_atom_site_fract_z
Ba1 Ba 0.2218 0.2500 0.0324
La1 La 0.0144 0.2500 0.3283
Cu1 Cu 0.0099 0.7500 0.0891
S1 S 0.0859 0.7500 0.8950
S2 S 0.1064 0.2500 0.5648
S3 S 0.1356 0.7500 0.2333

No. 8
# BaLaCuS3 (PBE, optimized geometry)
# - Uncorrected energy: -5.412 eV per atom
data_BaLaCuS3
_cell_length_a 18.2585
_cell_length_b 4.2016
_cell_length_c 8.3806
_cell_angle_alpha 90.00
_cell_angle_beta 103.41
_cell_angle_gamma 90.00
_space_group_name_H-M_alt 'C 1 2/m 1'
_space_group_IT_number 12
_space_group_name_Hall '-C 2y'
loop_
_atom_site_label
_atom_site_type_symbol
_atom_site_fract_x
_atom_site_fract_y
_atom_site_fract_z
Ba1 Ba 0.1285 0.0000 0.0699
La1 La 0.1603 0.0000 0.5794
Cu1 Cu 0.0361 0.5000 0.7205
S1 S 0.0000 0.0000 0.5000
S2 S 0.0000 0.5000 0.0000
S3 S 0.1659 0.5000 0.8134
S4 S 0.1768 0.5000 0.3568

For each record above, in turn, the calculated density values are 12.9 13.0 6.1 5.2 4.0 4.8 4.6 4.6 Mg/m³.